Material: PuSc2PaSe4
Method: DFT, PBE
State: relaxed

CIF file:
```
data_PuSc2PaSe4
_chemical_formula_sum 'Pu1 Sc2 Pa1 Se4'
_symmetry_space_group_name_H-M 'P 1 2/m 1'
_symmetry_Int_Tables_number 10
_cell_length_a 6.7766
_cell_length_b 3.8919
_cell_length_c 7.1485
_cell_angle_alpha 90.00
_cell_angle_beta 108.26
_cell_angle_gamma 90.00
loop_
_symmetry_equiv_pos_as_xyz
'x,y,z'
'-x,-y,-z'
'-x,y,-z'
'x,-y,z'
loop_
_atom_site_label
_atom_site_type_symbol
_atom_site_fract_x
_atom_site_fract_y
_atom_site_fract_z
Pu1 Pu 0.0000 0.0000 0.0000
Sc1 Sc 0.0000 0.5000 0.5000
Sc2 Sc 0.5000 0.0000 0.5000
Pa1 Pa 0.5000 0.5000 0.0000
Se1 Se 0.2431 0.0000 0.7279
Se2 Se 0.2579 0.5000 0.2714
```

Properties
Formation energy from raw total energies in eV/atom: -1.47


Material: YAlCo2
Method: DFT, PBE
State: relaxed

CIF file:
```
data_YAlCo2
_chemical_formula_sum 'Y4 Al4 Co8'
_symmetry_space_group_name_H-M 'C m c m'
_symmetry_Int_Tables_number 63
_symmetry_space_group_name_Hall '-C 2c 2'
_cell_length_a 4.2580
_cell_length_b 10.1501
_cell_length_c 5.9511
_cell_angle_alpha 90.00
_cell_angle_beta 90.00
_cell_angle_gamma 90.00
loop_
_atom_site_label
_atom_site_type_symbol
_atom_site_fract_x
_atom_site_fract_y
_atom_site_fract_z
Y1 Y 0.0000 0.0883 0.2500
Al1 Al 0.0000 0.2067 0.7500
Co1 Co 0.0000 0.3886 0.0563
```

Properties
Calculated formation energy in eV per atom: -0.256


Material: MgSc3F
Method: DFT, PBE
State: relaxed

CIF file:
```
data_MgSc3F
_chemical_formula_sum 'Mg1 Sc3 F1'
_symmetry_space_group_name_H-M 'P m -3 m'
_symmetry_Int_Tables_number 221
_symmetry_space_group_name_Hall '-P 4 2 3'
_cell_length_a 5.3066
_cell_length_b 5.3066
_cell_length_c 5.3066
_cell_angle_alpha 90.00
_cell_angle_beta 90.00
_cell_angle_gamma 90.00
loop_
_atom_site_label
_atom_site_type_symbol
_atom_site_fract_x
_atom_site_fract_y
_atom_site_fract_z
Mg1 Mg 0.0000 0.0000 0.0000
Sc1 Sc 0.0000 0.0000 0.5000
F1 F 0.5000 0.5000 0.5000
```

Properties
Formation energy from raw total energies in eV/atom: 0.53
Energy above the lowest structure with this stoichiometry in eV/f.u.: 6.83


Material: BaSrTi2S
Method: DFT, PBE
State: relaxed

CIF file:
```
data_BaSrTi2S
_chemical_formula_sum 'Ba1 Sr1 Ti2 S1'
_symmetry_space_group_name_H-M 'P 4/m m m'
_symmetry_Int_Tables_number 123
_symmetry_space_group_name_Hall '-P 4 2'
_cell_length_a 5.5265
_cell_length_b 5.5265
_cell_length_c 5.6057
_cell_angle_alpha 90.00
_cell_angle_beta 90.00
_cell_angle_gamma 90.00
loop_
_atom_site_label
_atom_site_type_symbol
_atom_site_fract_x
_atom_site_fract_y
_atom_site_fract_z
Ba1 Ba 0.0000 0.0000 0.0000
Sr1 Sr 0.5000 0.5000 0.5000
Ti1 Ti 0.0000 0.5000 0.5000
S1 S 0.5000 0.5000 0.0000
```

Properties
Formation energy from raw total energies in eV/atom: 0.89


Material: MgIn2Ir
Method: DFT, PBE
State: relaxed

CIF file:
```
data_MgIn2Ir
_chemical_formula_sum 'Mg1 In2 Ir1'
_symmetry_space_group_name_H-M 'P m m m'
_symmetry_Int_Tables_number 47
_cell_length_a 3.3031
_cell_length_b 4.6669
_cell_length_c 5.0100
_cell_angle_alpha 90.00
_cell_angle_beta 90.00
_cell_angle_gamma 90.00
loop_
_symmetry_equiv_pos_as_xyz
'x,y,z'
'-x,-y,-z'
'-x,-y,z'
'x,y,-z'
'x,-y,-z'
'-x,y,z'
'-x,y,-z'
'x,-y,z'
loop_
_atom_site_label
_atom_site_type_symbol
_atom_site_fract_x
_atom_site_fract_y
_atom_site_fract_z
Mg1 Mg 0.0000 0.0000 0.0000
In1 In 0.0000 0.5000 0.5000
In2 In 0.5000 0.5000 0.0000
Ir1 Ir 0.5000 0.0000 0.5000
```

Properties
Calculated formation energy in eV per atom: 0.042


Material: Li3PrPu2S6
Method: DFT, PBE
State: relaxed

CIF file:
```
data_Li3PrPu2S6
_chemical_formula_sum 'Li6 Pr2 Pu4 S12'
_symmetry_space_group_name_H-M 'C 1 2/m 1'
_symmetry_Int_Tables_number 12
_cell_length_a 6.9401
_cell_length_b 12.0298
_cell_length_c 6.5665
_cell_angle_alpha 90.00
_cell_angle_beta 110.55
_cell_angle_gamma 90.00
loop_
_symmetry_equiv_pos_as_xyz
'x,y,z'
'-x,-y,-z'
'-x,y,-z'
'x,-y,z'
'x+1/2,y+1/2,z'
'-x+1/2,-y+1/2,-z'
'-x+1/2,y+1/2,-z'
'x+1/2,-y+1/2,z'
loop_
_atom_site_label
_atom_site_type_symbol
_atom_site_fract_x
_atom_site_fract_y
_atom_site_fract_z
Li1 Li 0.0000 0.0000 0.0000
Li2 Li 0.0000 0.3282 0.0000
Pr1 Pr 0.0000 0.5000 0.5000
Pu1 Pu 0.0000 0.1663 0.5000
S1 S 0.2411 0.0000 0.7555
S2 S 0.2443 0.1720 0.2478
```

Properties
Formation energy from raw total energies in eV/atom: -1.61


Material: HgC3Br
Method: DFT, PBE
State: relaxed

CIF file:
```
data_HgC3Br
_chemical_formula_sum 'Hg1 C3 Br1'
_symmetry_space_group_name_H-M 'P m -3 m'
_symmetry_Int_Tables_number 221
_symmetry_space_group_name_Hall '-P 4 2 3'
_cell_length_a 4.1900
_cell_length_b 4.1900
_cell_length_c 4.1900
_cell_angle_alpha 90.00
_cell_angle_beta 90.00
_cell_angle_gamma 90.00
loop_
_atom_site_label
_atom_site_type_symbol
_atom_site_fract_x
_atom_site_fract_y
_atom_site_fract_z
Hg1 Hg 0.0000 0.0000 0.0000
C1 C 0.0000 0.5000 0.5000
Br1 Br 0.5000 0.5000 0.5000
```

Properties
Formation energy from raw total energies in eV/atom: 3.53
Energy above the lowest structure with this stoichiometry in eV/f.u.: 0.11


Material: BaYVN3
Method: DFT, PBE
State: relaxed

CIF file:
```
data_BaYVN3
_chemical_formula_sum 'Ba4 Y4 V4 N12'
_symmetry_space_group_name_H-M 'C 1 2/m 1'
_symmetry_Int_Tables_number 12
_cell_length_a 13.2790
_cell_length_b 3.8546
_cell_length_c 7.7058
_cell_angle_alpha 90.00
_cell_angle_beta 105.56
_cell_angle_gamma 90.00
loop_
_symmetry_equiv_pos_as_xyz
'x,y,z'
'-x,-y,-z'
'-x,y,-z'
'x,-y,z'
'x+1/2,y+1/2,z'
'-x+1/2,-y+1/2,-z'
'-x+1/2,y+1/2,-z'
'x+1/2,-y+1/2,z'
loop_
_atom_site_label
_atom_site_type_symbol
_atom_site_fract_x
_atom_site_fract_y
_atom_site_fract_z
Ba1 Ba 0.1430 0.0000 0.0759
Y1 Y 0.1564 0.0000 0.5736
V1 V 0.0008 0.5000 0.3145
N1 N 0.0042 0.0000 0.3243
N2 N 0.1443 0.5000 0.7911
N3 N 0.1565 0.5000 0.3540
```

Properties
Formation energy from raw total energies in eV/atom: -0.95


Material: Pr2SbI2
Method: DFT, PBE
State: relaxed

CIF file:
```
data_Pr2SbI2
_chemical_formula_sum 'Pr6 Sb3 I6'
_symmetry_space_group_name_H-M 'R -3 m'
_symmetry_Int_Tables_number 166
_symmetry_space_group_name_Hall '-R 3 2"'
_cell_length_a 4.5099
_cell_length_b 4.5099
_cell_length_c 34.6542
_cell_angle_alpha 90.00
_cell_angle_beta 90.00
_cell_angle_gamma 120.00
loop_
_atom_site_label
_atom_site_type_symbol
_atom_site_fract_x
_atom_site_fract_y
_atom_site_fract_z
Pr1 Pr 0.0000 0.0000 0.1155
Sb1 Sb 0.0000 0.0000 0.5000
I1 I 0.0000 0.0000 0.2759
```

Properties
Formation energy from raw total energies in eV/atom: -1.34


Material: Th2Co2Ge3
Method: DFT, PBE
State: relaxed

CIF file:
```
data_Th2Co2Ge3
_chemical_formula_sum 'Th8 Co8 Ge12'
_symmetry_space_group_name_H-M 'C m c m'
_symmetry_Int_Tables_number 63
_symmetry_space_group_name_Hall '-C 2c 2'
_cell_length_a 4.2531
_cell_length_b 18.2656
_cell_length_c 6.8515
_cell_angle_alpha 90.00
_cell_angle_beta 90.00
_cell_angle_gamma 90.00
loop_
_atom_site_label
_atom_site_type_symbol
_atom_site_fract_x
_atom_site_fract_y
_atom_site_fract_z
Th1 Th 0.0000 0.0512 0.2500
Th2 Th 0.0000 0.1648 0.7500
Co1 Co 0.0000 0.3031 0.5514
Ge1 Ge 0.0000 0.2176 0.2500
Ge2 Ge 0.0000 0.4324 0.0596
```

Properties
Energy above the lowest structure with this stoichiometry in eV/f.u.: 0.00
Calculated formation energy in eV per atom: -0.583


Material: SrAs2Au2
Method: DFT, PBE
State: relaxed

CIF file:
```
data_SrAs2Au2
_chemical_formula_sum 'Sr2 As4 Au4'
_symmetry_space_group_name_H-M 'P 4/m b m'
_symmetry_Int_Tables_number 127
_symmetry_space_group_name_Hall '-P 4 2ab'
_cell_length_a 7.9975
_cell_length_b 7.9975
_cell_length_c 3.5075
_cell_angle_alpha 90.00
_cell_angle_beta 90.00
_cell_angle_gamma 90.00
loop_
_atom_site_label
_atom_site_type_symbol
_atom_site_fract_x
_atom_site_fract_y
_atom_site_fract_z
Sr1 Sr 0.0000 0.0000 0.0000
As1 As 0.1976 0.3024 0.5000
Au1 Au 0.1218 0.6218 0.0000
```

Properties
Calculated formation energy in eV per atom: -0.251


Material: Hf2Ga3Tc
Method: DFT, PBE
State: relaxed

CIF file:
```
data_Hf2Ga3Tc
_chemical_formula_sum 'Hf6 Ga9 Tc3'
_symmetry_space_group_name_H-M 'R -3 m'
_symmetry_Int_Tables_number 166
_symmetry_space_group_name_Hall '-R 3 2"'
_cell_length_a 5.2318
_cell_length_b 5.2318
_cell_length_c 12.8263
_cell_angle_alpha 90.00
_cell_angle_beta 90.00
_cell_angle_gamma 120.00
loop_
_atom_site_label
_atom_site_type_symbol
_atom_site_fract_x
_atom_site_fract_y
_atom_site_fract_z
Hf1 Hf 0.0000 0.0000 0.1301
Ga1 Ga 0.0000 0.5000 0.0000
Tc1 Tc 0.0000 0.0000 0.5000
```

Properties
Energy above the lowest structure with this stoichiometry in eV/f.u.: 0.00
Calculated formation energy in eV per atom: -0.439


Number 1: density 8169 kg/m3. Number 2: density 6037 kg/m3. Number 3: density 1980 kg/m3. Number 4: density 3421 kg/m3. Number 5: density 9593 kg/m3. Number 6: density 5448 kg/m3. Number 7: density 7145 kg/m3. Number 8: density 5580 kg/m3. Number 9: density 5365 kg/m3. Number 10: density 9982 kg/m3. Number 11: density 9347 kg/m3. Number 12: density 10880 kg/m3.